Density functional theory data (PBE) for a geometry-optimized ZnRuW2 structure.

Output
The value obtained for the calculated formation energy is 1.07 eV per formula unit. For the volume, the calculation gives 15.11 A^3/atom. The value obtained for the final energy is -35.39 eV/cell.

a b c (Å): 4.852 4.852 4.852
angles (deg): 132.77 132.77 69.02
Fractional positions:
Zn  0.500  0.500  0.000
W  0.250  0.750  0.500
W  0.000  0.000  0.000
Ru  0.750  0.250  0.500